## w
# Na2CaS2

A relaxed structure of Na2CaS2 (PBE-GGA, Alexandria).

As for the crystal system: tetragonal. Its magnetization is 0.00 μB/atom. Its calculated volume is 219.0 Å³ per cell.

The structure belongs to space group I4/mmm (No. 139); the cell edges are 3.955, 3.955 and 13.998 Å and the angles 90.00°, 90.00° and 90.00°. The distinct sites, in fractional coordinates, are Na at (0.000, 0.500, 0.250), Ca at (0.000, 0.000, 0.000) and S at (0.000, 0.000, 0.384).



## x
# Na2CaS2

A relaxed structure of Na2CaS2 (PBE-GGA, Alexandria).

As for the crystal system: tetragonal. Its magnetization is 0.00 μB/atom. Its calculated volume is 230.8 Å³ per cell.

The structure belongs to space group P4/mbm (No. 127); the cell edges are 7.599, 7.599 and 3.997 Å and the angles 90.00°, 90.00° and 90.00°. The distinct sites, in fractional coordinates, are Na at (0.128, 0.372, 0.000), Ca at (0.000, 0.000, 0.500) and S at (0.182, 0.682, 0.500).



Going by the energies, x is most stable and the next is 2.8 kJ/mol of atoms up.



## w
# NaCa2Sb2

A relaxed structure of NaCa2Sb2 (PBE-GGA, Alexandria).

As for the crystal system: tetragonal. Its magnetization is 0.00 μB/atom. Its calculated volume is 358.7 Å³ per cell.

The structure belongs to space group I4/mmm (No. 139); the cell edges are 4.590, 4.590 and 17.027 Å and the angles 90.00°, 90.00° and 90.00°. The distinct sites, in fractional coordinates, are Na at (0.000, 0.000, 0.000), Ca at (0.000, 0.000, 0.382) and Sb at (0.000, 0.500, 0.250).



## x
# NaCa2Sb2

A relaxed structure of NaCa2Sb2 (PBE-GGA, Alexandria).

As for the crystal system: tetragonal. Its magnetization is 0.00 μB/atom. Its calculated volume is 308.6 Å³ per cell.

The structure belongs to space group P4/mbm (No. 127); the cell edges are 9.081, 9.081 and 3.741 Å and the angles 90.00°, 90.00° and 90.00°. The distinct sites, in fractional coordinates, are Na at (0.000, 0.000, 0.000), Ca at (0.135, 0.365, 0.500) and Sb at (0.165, 0.665, 0.000).



## y
# NaCa2Sb2

A relaxed structure of NaCa2Sb2 (PBE-GGA, Alexandria).

As for the crystal system: tetragonal. Its magnetization is 0.00 μB/atom. Its calculated volume is 364.3 Å³ per cell.

The structure belongs to space group I4/mmm (No. 139); the cell edges are 5.382, 5.382 and 12.577 Å and the angles 90.00°, 90.00° and 90.00°. The distinct sites, in fractional coordinates, are Na at (0.000, 0.000, 0.000), Ca at (0.000, 0.500, 0.250) and Sb at (0.000, 0.000, 0.380).



Going by the energies, x is most stable and the next is 21.3 kJ/mol of atoms up.



## w
# NaCaSbTe2

A relaxed structure of NaCaSbTe2 (PBE-GGA, Alexandria).

As for the crystal system: tetragonal. Its magnetization is 0.00 μB/atom. Its calculated volume is 167.4 Å³ per cell.

The structure belongs to space group P4/mmm (No. 123); the cell edges are 5.627, 5.627 and 5.287 Å and the angles 90.00°, 90.00° and 90.00°. The distinct sites, in fractional coordinates, are Na at (0.000, 0.000, 0.000), Ca at (0.500, 0.500, 0.500), Sb at (0.000, 0.000, 0.500) and Te at (0.000, 0.500, 0.000).



## x
# NaCaSbTe2

A relaxed structure of NaCaSbTe2 (PBE-GGA, Alexandria).

As for the crystal system: tetragonal. Its magnetization is 0.00 μB/atom. Its calculated volume is 202.7 Å³ per cell.

The structure belongs to space group P4/mmm (No. 123); the cell edges are 5.912, 5.912 and 5.799 Å and the angles 90.00°, 90.00° and 90.00°. The distinct sites, in fractional coordinates, are Na at (0.000, 0.000, 0.000), Ca at (0.500, 0.500, 0.500), Sb at (0.500, 0.500, 0.000) and Te at (0.000, 0.500, 0.500).



Going by the energies, x is most stable and the next is 10.2 kJ/mol of atoms up.



## w
# Na3CaSc

A relaxed structure of Na3CaSc (PBE-GGA, Alexandria).

As for the crystal system: cubic. Its magnetization is 0.31 μB/atom. Its calculated volume is 209.7 Å³ per cell.

The structure belongs to space group Pm-3m (No. 221); the cell edges are 5.941, 5.941 and 5.941 Å and the angles 90.00°, 90.00° and 90.00°. The distinct sites, in fractional coordinates, are Na at (0.000, 0.000, 0.500), Ca at (0.000, 0.000, 0.000) and Sc at (0.500, 0.500, 0.500).



## x
# Na3CaSc

A relaxed structure of Na3CaSc (PBE-GGA, Alexandria).

As for the crystal system: cubic. Its magnetization is 0.32 μB/atom. Its calculated volume is 211.8 Å³ per cell.

The structure belongs to space group Pm-3m (No. 221); the cell edges are 5.961, 5.961 and 5.961 Å and the angles 90.00°, 90.00° and 90.00°. The distinct sites, in fractional coordinates, are Na at (0.000, 0.000, 0.500), Ca at (0.500, 0.500, 0.500) and Sc at (0.000, 0.000, 0.000).



Going by the energies, x is most stable and the next is 16.8 kJ/mol of atoms up.



## w
# NaCa2Sc2

A relaxed structure of NaCa2Sc2 (PBE-GGA, Alexandria).

As for the crystal system: tetragonal. Its magnetization is 0.35 μB/atom. Its calculated volume is 352.4 Å³ per cell.

The structure belongs to space group P4/mbm (No. 127); the cell edges are 9.818, 9.818 and 3.656 Å and the angles 90.00°, 90.00° and 90.00°. The distinct sites, in fractional coordinates, are Na at (0.000, 0.000, 0.000), Ca at (0.182, 0.318, 0.500) and Sc at (0.106, 0.606, 0.000).



## x
# NaCa2Sc2

A relaxed structure of NaCa2Sc2 (PBE-GGA, Alexandria).

As for the crystal system: tetragonal. Its magnetization is 0.36 μB/atom. Its calculated volume is 355.0 Å³ per cell.

The structure belongs to space group P4/mbm (No. 127); the cell edges are 9.976, 9.976 and 3.567 Å and the angles 90.00°, 90.00° and 90.00°. The distinct sites, in fractional coordinates, are Na at (0.000, 0.000, 0.000), Ca at (0.180, 0.320, 0.000) and Sc at (0.107, 0.607, 0.500).



Going by the energies, w is most stable and the next is 2.9 kJ/mol of atoms up.



## w
# NaCa3Se

A relaxed structure of NaCa3Se (PBE-GGA, Alexandria).

As for the crystal system: cubic. Its magnetization is 0.00 μB/atom. Its calculated volume is 199.7 Å³ per cell.

The structure belongs to space group Pm-3m (No. 221); the cell edges are 5.845, 5.845 and 5.845 Å and the angles 90.00°, 90.00° and 90.00°. The distinct sites, in fractional coordinates, are Na at (0.000, 0.000, 0.000), Ca at (0.000, 0.000, 0.500) and Se at (0.500, 0.500, 0.500).



## x
# NaCa3Se

A relaxed structure of NaCa3Se (PBE-GGA, Alexandria).

As for the crystal system: cubic. Its magnetization is 0.00 μB/atom. Its calculated volume is 191.0 Å³ per cell.

The structure belongs to space group Pm-3m (No. 221); the cell edges are 5.758, 5.758 and 5.758 Å and the angles 90.00°, 90.00° and 90.00°. The distinct sites, in fractional coordinates, are Na at (0.000, 0.000, 0.000), Ca at (0.000, 0.500, 0.500) and Se at (0.500, 0.500, 0.500).



Going by the energies, x is most stable and the next is 84.5 kJ/mol of atoms up.



## w
# Na2CaSe2

A relaxed structure of Na2CaSe2 (PBE-GGA, Alexandria).

As for the crystal system: tetragonal. Its magnetization is 0.00 μB/atom. Its calculated volume is 248.6 Å³ per cell.

The structure belongs to space group I4/mmm (No. 139); the cell edges are 4.115, 4.115 and 14.681 Å and the angles 90.00°, 90.00° and 90.00°. The distinct sites, in fractional coordinates, are Na at (0.000, 0.500, 0.250), Ca at (0.000, 0.000, 0.000) and Se at (0.000, 0.000, 0.385).



## x
# Na2CaSe2

A relaxed structure of Na2CaSe2 (PBE-GGA, Alexandria).

As for the crystal system: tetragonal. Its magnetization is 0.00 μB/atom. Its calculated volume is 262.0 Å³ per cell.

The structure belongs to space group P4/mbm (No. 127); the cell edges are 7.930, 7.930 and 4.167 Å and the angles 90.00°, 90.00° and 90.00°. The distinct sites, in fractional coordinates, are Na at (0.129, 0.371, 0.000), Ca at (0.000, 0.000, 0.500) and Se at (0.180, 0.680, 0.500).



Going by the energies, x is most stable and the next is 2.6 kJ/mol of atoms up.



## w
# Na3CaSe

A relaxed structure of Na3CaSe (PBE-GGA, Alexandria).

As for the crystal system: cubic. Its magnetization is 0.13 μB/atom. Its calculated volume is 231.4 Å³ per cell.

The structure belongs to space group Pm-3m (No. 221); the cell edges are 6.140, 6.140 and 6.140 Å and the angles 90.00°, 90.00° and 90.00°. The distinct sites, in fractional coordinates, are Na at (0.000, 0.000, 0.500), Ca at (0.000, 0.000, 0.000) and Se at (0.500, 0.500, 0.500).



## x
# Na3CaSe

A relaxed structure of Na3CaSe (PBE-GGA, Alexandria).

As for the crystal system: cubic. Its magnetization is 0.00 μB/atom. Its calculated volume is 185.2 Å³ per cell.

The structure belongs to space group Pm-3m (No. 221); the cell edges are 5.700, 5.700 and 5.700 Å and the angles 90.00°, 90.00° and 90.00°. The distinct sites, in fractional coordinates, are Na at (0.000, 0.000, 0.500), Ca at (0.500, 0.500, 0.500) and Se at (0.000, 0.000, 0.000).



Going by the energies, x is most stable and the next is 89.4 kJ/mol of atoms up.



## w
# NaCaSi3

A relaxed structure of NaCaSi3 (PBE-GGA, Alexandria).

As for the crystal system: cubic. Its magnetization is 0.00 μB/atom. Its calculated volume is 121.7 Å³ per cell.

The structure belongs to space group Pm-3m (No. 221); the cell edges are 4.956, 4.956 and 4.956 Å and the angles 90.00°, 90.00° and 90.00°. The distinct sites, in fractional coordinates, are Na at (0.000, 0.000, 0.000), Ca at (0.500, 0.500, 0.500) and Si at (0.000, 0.000, 0.500).



## x
# NaCaSi3

A relaxed structure of NaCaSi3 (PBE-GGA, Alexandria).

As for the crystal system: cubic. Its magnetization is 0.15 μB/atom. Its calculated volume is 157.4 Å³ per cell.

The structure belongs to space group Pm-3m (No. 221); the cell edges are 5.399, 5.399 and 5.399 Å and the angles 90.00°, 90.00° and 90.00°. The distinct sites, in fractional coordinates, are Na at (0.000, 0.000, 0.000), Ca at (0.500, 0.500, 0.500) and Si at (0.000, 0.500, 0.500).



Going by the energies, w is most stable and the next is 21.6 kJ/mol of atoms up.



## w
# NaCaSi4

A relaxed structure of NaCaSi4 (PBE-GGA, Alexandria).

As for the crystal system: orthorhombic. Its magnetization is 0.00 μB/atom. Its calculated volume is 126.3 Å³ per cell.

The structure belongs to space group Pmmm (No. 47); the cell edges are 3.950, 4.466 and 7.160 Å and the angles 90.00°, 90.00° and 90.00°. The distinct sites, in fractional coordinates, are Na at (0.000, 0.000, 0.000), Ca at (0.500, 0.000, 0.500), Si at (0.000, 0.500, 0.338) and Si at (0.500, 0.500, 0.165).



## x
# NaCaSi4

A relaxed structure of NaCaSi4 (PBE-GGA, Alexandria).

As for the crystal system: cubic. Its magnetization is 0.00 μB/atom. Its calculated volume is 421.7 Å³ per cell.

The structure belongs to space group F-43m (No. 216); the cell edges are 7.499, 7.499 and 7.499 Å and the angles 90.00°, 90.00° and 90.00°. The distinct sites, in fractional coordinates, are Na at (0.000, 0.000, 0.000), Ca at (0.250, 0.250, 0.750) and Si at (0.126, 0.126, 0.374).



Going by the energies, w is most stable and the next is 3.7 kJ/mol of atoms up.



## w
# NaCa3Si

A relaxed structure of NaCa3Si (PBE-GGA, Alexandria).

As for the crystal system: cubic. Its magnetization is 0.00 μB/atom. Its calculated volume is 182.3 Å³ per cell.

The structure belongs to space group Pm-3m (No. 221); the cell edges are 5.670, 5.670 and 5.670 Å and the angles 90.00°, 90.00° and 90.00°. The distinct sites, in fractional coordinates, are Na at (0.000, 0.000, 0.000), Ca at (0.000, 0.000, 0.500) and Si at (0.500, 0.500, 0.500).



## x
# NaCa3Si

A relaxed structure of NaCa3Si (PBE-GGA, Alexandria).

As for the crystal system: cubic. Its magnetization is 0.00 μB/atom. Its calculated volume is 193.8 Å³ per cell.

The structure belongs to space group Pm-3m (No. 221); the cell edges are 5.787, 5.787 and 5.787 Å and the angles 90.00°, 90.00° and 90.00°. The distinct sites, in fractional coordinates, are Na at (0.000, 0.000, 0.000), Ca at (0.000, 0.500, 0.500) and Si at (0.500, 0.500, 0.500).



Going by the energies, x is most stable and the next is 82.7 kJ/mol of atoms up.



## w
# NaCaSm

A relaxed structure of NaCaSm (PBE-GGA, Alexandria).

As for the crystal system: tetragonal. Its magnetization is 0.00 μB/atom. Its calculated volume is 223.6 Å³ per cell.

The structure belongs to space group P4/nmm (No. 129, origin choice 2); the cell edges are 3.692, 3.692 and 16.411 Å and the angles 90.00°, 90.00° and 90.00°. The distinct sites, in fractional coordinates, are Na at (0.250, 0.250, 0.083), Ca at (0.250, 0.250, 0.742) and Sm at (0.250, 0.250, 0.427).



## x
# NaCaSm

A relaxed structure of NaCaSm (PBE-GGA, Alexandria).

As for the crystal system: tetragonal. Its magnetization is 0.00 μB/atom. Its calculated volume is 220.5 Å³ per cell.

The structure belongs to space group I4mm (No. 107); the cell edges are 3.606, 3.606 and 16.954 Å and the angles 90.00°, 90.00° and 90.00°. The distinct sites, in fractional coordinates, are Na at (0.000, 0.000, 0.000), Ca at (0.000, 0.000, 0.326) and Sm at (0.000, 0.000, 0.665).



Going by the energies, w is most stable and the next is 12.0 kJ/mol of atoms up.